[1]
The following is a PBE-GGA calculation of a relaxed La5Co2Hg2 crystal, from the Alexandria database.

Cell: 16.1743 7.0042 8.8547 Å, 90.00 90.00 90.00°
Space group Cmce (No. 64)
Symmetry-distinct sites (fractional):
La1 0.0000 0.0000 0.0000 x4
La2 0.1161 0.1325 0.3254 x16
Co1 0.0000 0.1455 0.6065 x8
Hg1 0.2100 0.0000 0.0000 x8

Calculated values
V, Å³ per cell: 1003
Calculated density, Mg/m³: 8.04
Energy of formation from the pure elements, meV/atom: -259
VASP energy, eV/cell: -167.12
Magnetization, Bohr magnetons per cell: 0.00


[2]
The following is a PBE-GGA calculation of a relaxed Tb4Sm5Tm2 crystal, from the Alexandria database.

Cell: 3.5074 9.1201 23.3729 Å, 90.00 90.00 90.00°
Space group Immm (No. 71)
Symmetry-distinct sites (fractional):
Tb1 0.0000 0.0000 0.0971 x4
Tb2 0.0000 0.3085 0.5000 x4
Sm1 0.0000 0.2017 0.3524 x8
Sm2 0.0000 0.5000 0.0000 x2
Tm1 0.0000 0.0000 0.2303 x4

Calculated values
V, Å³ per cell: 748
Calculated density, Mg/m³: 7.66
Energy of formation from the pure elements, meV/atom: 227
VASP energy, eV/cell: -97.13
Magnetization, Bohr magnetons per cell: 0.00


[3]
The following is a PBE-GGA calculation of a relaxed Cd2Hg2S crystal, from the Alexandria database.

Cell: 7.3863 7.3863 4.4320 Å, 90.00 90.00 90.00°
Space group P4/mbm (No. 127)
Symmetry-distinct sites (fractional):
Cd1 0.1630 0.3370 0.0000 x4
Hg1 0.1455 0.6455 0.5000 x4
S1 0.0000 0.0000 0.5000 x2

Calculated values
V, Å³ per cell: 242
Energy relative to the elements, uncorrected, eV per atom: 0.1606
Calculated density, Mg/m³: 9.04
VASP energy, eV/cell: -11.52
Magnetization, Bohr magnetons per cell: 0.00


[4]
The following is a PBE-GGA calculation of a relaxed Tb6Pm8Tm crystal, from the Alexandria database.

Cell: 9.4147 9.4147 6.5825 Å, 90.00 90.00 120.00°
Space group P-3 (No. 147)
Symmetry-distinct sites (fractional):
Tb1 0.0903 0.6553 0.1581 x6
Pm1 0.0332 0.7494 0.6656 x6
Pm2 0.3333 0.6667 0.6180 x2
Tm1 0.0000 0.0000 0.0000 x1

Calculated values
V, Å³ per cell: 505
Calculated density, Mg/m³: 7.50
Energy of formation from the pure elements, meV/atom: 171
VASP energy, eV/cell: -67.70
Magnetization, Bohr magnetons per cell: 0.00


[5]
The following is a PBE-GGA calculation of a relaxed ZrTe2 crystal, from the Alexandria database.

Cell: 7.1235 7.1235 7.1235 Å, 90.00 90.00 90.00°
Space group Fm-3m (No. 225)
Symmetry-distinct sites (fractional):
Zr1 0.0000 0.0000 0.0000 x4
Te1 0.2500 0.2500 0.2500 x8

Calculated values
V, Å³ per cell: 361
Energy relative to the elements, uncorrected, eV per atom: -0.5356
Calculated density, Mg/m³: 6.37
VASP energy, eV/cell: -65.75
Magnetization, Bohr magnetons per cell: 1.33


[6]
The following is a PBE-GGA calculation of a relaxed Tb5Dy12Cd2 crystal, from the Alexandria database.

Cell: 15.5090 9.2021 8.2581 Å, 90.00 91.56 90.00°
Space group C2/m (No. 12)
Symmetry-distinct sites (fractional):
Tb1 0.0000 0.0000 0.0000 x2
Tb2 0.1970 0.5000 0.5099 x4
Tb3 0.2345 0.0000 0.0791 x4
Dy1 0.0551 0.5000 0.8239 x4
Dy2 0.0835 0.0000 0.3862 x4
Dy3 0.1255 0.3058 0.1670 x8
Dy4 0.1493 0.1842 0.7398 x8
Cd1 0.0000 0.3224 0.5000 x4

Calculated values
V, Å³ per cell: 1178
Calculated density, Mg/m³: 8.37
Energy of formation from the pure elements, meV/atom: 48
VASP energy, eV/cell: -158.60
Magnetization, Bohr magnetons per cell: 0.00